Here is a geometry-optimized CoPdRu2N structure from Alexandria via LeMat-Bulk. Energies are from GGA-PBE.

Results
**Space group**: P4/mmm, No. 123
**Electronic total energy**: -4.9298 eV per atom
**Relative energy among the computed polymorphs**: 2.677 eV/atom
**ΔE_f (raw)**: 2.905 eV/atom

a b c (Å): 4.7951 4.7951 4.4976
angles (deg): 90.00 90.00 90.00
Atoms (fractional coordinates):
Co1 0.0000 0.0000 0.0000
Pd1 0.0000 0.0000 0.5000
Ru1 0.0000 0.5000 0.5000
Ru2 0.5000 0.0000 0.5000
N1 0.5000 0.5000 0.0000